Entry from the Alexandria database: an optimized crystal structure of Ho4CdIn2Ag (PBE).

Unit cell a=5.251 b=5.251 c=9.102 alpha=73.24 beta=73.24 gamma=60.00
Sites, in units of the cell vectors:
Ho1 0.377 0.377 0.868
Ho2 0.873 0.873 0.381
Ho3 0.127 0.127 0.619
Ho4 0.623 0.623 0.132
Cd1 0.000 0.000 0.000
In1 0.749 0.749 0.753
In2 0.251 0.251 0.247
Ag1 0.500 0.500 0.500

Output
Symmetry: R-3m (166)
ΔE_f: -0.399 eV per atom

Entry from the Alexandria database: an optimized crystal structure of HoCdInAg (PBE).

Unit cell a=5.012 b=5.012 c=5.012 alpha=60.00 beta=60.00 gamma=60.00
Sites, in units of the cell vectors:
Cd1 0.750 0.750 0.750
Ho1 0.500 0.500 0.500
Ag1 0.250 0.250 0.250
In1 0.000 0.000 0.000

Output
Symmetry: F-43m (216)
ΔE_f: -0.280 eV per atom

Entry from the Alexandria database: an optimized crystal structure of HoCdAgIr (PBE).

Unit cell a=4.812 b=4.812 c=4.812 alpha=60.00 beta=60.00 gamma=60.00
Sites, in units of the cell vectors:
Ir1 0.500 0.500 0.500
Ho1 0.250 0.250 0.250
Ag1 0.000 0.000 0.000
Cd1 0.750 0.750 0.750

Output
Symmetry: F-43m (216)
ΔE_f: -0.325 eV per atom

Entry from the Alexandria database: an optimized crystal structure of NdHoCdAg (PBE).

Unit cell a=5.293 b=5.293 c=5.293 alpha=60.00 beta=60.00 gamma=60.00
Sites, in units of the cell vectors:
Nd1 0.500 0.500 0.500
Ho1 0.000 0.000 0.000
Ag1 0.250 0.250 0.250
Cd1 0.750 0.750 0.750

Output
Energy above the lowest structure with this stoichiometry: 5.7 kJ/mol of formula units
Symmetry: F-43m (216)
ΔE_f: -0.286 eV per atom

Entry from the Alexandria database: an optimized crystal structure of NdHoCdAg (PBE).

Unit cell a=3.716 b=3.716 c=7.570 alpha=90.00 beta=90.00 gamma=90.00
Each line ends with the local moment (μB).
Sites, in units of the cell vectors:
Nd1 0.500 0.500 0.112  0.11
Ho1 0.500 0.500 0.596  0.01
Cd1 0.000 0.000 0.841  0.00
Ag1 0.000 0.000 0.379  0.00

Output
Energy above the lowest structure with this stoichiometry: 0.0 kJ/mol of formula units
Symmetry: P4mm (99)
ΔE_f: -0.300 eV per atom

Entry from the Alexandria database: an optimized crystal structure of HoCdNiAg (PBE).

Unit cell a=4.776 b=4.776 c=4.776 alpha=60.00 beta=60.00 gamma=60.00
Sites, in units of the cell vectors:
Ni1 0.750 0.750 0.750
Ho1 0.000 0.000 0.000
Ag1 0.250 0.250 0.250
Cd1 0.500 0.500 0.500

Output
Symmetry: F-43m (216)
ΔE_f: -0.211 eV per atom

Entry from the Alexandria database: an optimized crystal structure of HoCdAgPb (PBE).

Unit cell a=5.144 b=5.144 c=5.144 alpha=60.00 beta=60.00 gamma=60.00
Sites, in units of the cell vectors:
Pb1 0.250 0.250 0.250
Ho1 0.500 0.500 0.500
Ag1 0.750 0.750 0.750
Cd1 0.000 0.000 0.000

Output
Symmetry: F-43m (216)
ΔE_f: -0.198 eV per atom

Entry from the Alexandria database: an optimized crystal structure of Ho2CdAgPd4 (PBE).

Unit cell a=4.769 b=4.769 c=8.184 alpha=73.06 beta=73.06 gamma=60.00
Sites, in units of the cell vectors:
Ho1 0.752 0.752 0.744
Ho2 0.248 0.248 0.256
Cd1 0.000 0.000 0.000
Ag1 0.500 0.500 0.500
Pd1 0.375 0.375 0.876
Pd2 0.876 0.876 0.371
Pd3 0.124 0.124 0.629
Pd4 0.625 0.625 0.124

Output
Symmetry: R-3m (166)
ΔE_f: -0.692 eV per atom

Entry from the Alexandria database: an optimized crystal structure of HoCdAgPd (PBE).

Unit cell a=4.859 b=4.859 c=4.859 alpha=60.00 beta=60.00 gamma=60.00
Sites, in units of the cell vectors:
Pd1 0.500 0.500 0.500
Ho1 0.250 0.250 0.250
Ag1 0.000 0.000 0.000
Cd1 0.750 0.750 0.750

Output
Symmetry: F-43m (216)
ΔE_f: -0.492 eV per atom

Entry from the Alexandria database: an optimized crystal structure of Ho4CdAg2Pd (PBE).

Unit cell a=5.111 b=5.111 c=8.832 alpha=73.18 beta=73.18 gamma=60.00
Sites, in units of the cell vectors:
Ho1 0.381 0.381 0.856
Ho2 0.870 0.870 0.389
Ho3 0.130 0.130 0.611
Ho4 0.619 0.619 0.144
Cd1 0.000 0.000 0.000
Ag1 0.744 0.744 0.769
Ag2 0.256 0.256 0.231
Pd1 0.500 0.500 0.500

Output
Symmetry: R-3m (166)
ΔE_f: -0.473 eV per atom

Entry from the Alexandria database: an optimized crystal structure of Pm2HoCd2Ag2 (PBE).

Unit cell a=4.890 b=4.890 c=9.214 alpha=74.61 beta=74.61 gamma=60.00
Sites, in units of the cell vectors:
Pm1 0.124 0.124 0.629
Pm2 0.876 0.876 0.371
Ho1 0.000 0.000 0.000
Cd1 0.733 0.733 0.802
Cd2 0.267 0.267 0.198
Ag1 0.607 0.607 0.179
Ag2 0.393 0.393 0.821

Output
Symmetry: R-3m (166)
ΔE_f: -0.181 eV per atom

Entry from the Alexandria database: an optimized crystal structure of Pr2HoCd12Ag3 (PBE).

Unit cell a=8.876 b=8.876 c=8.876 alpha=60.48 beta=60.48 gamma=60.48
Sites, in units of the cell vectors:
Pr1 0.583 0.583 0.583
Pr2 0.417 0.417 0.417
Ho1 0.000 0.000 0.000
Cd1 0.241 0.241 0.834
Cd2 0.825 0.825 0.459
Cd3 0.459 0.825 0.825
Cd4 0.834 0.241 0.241
Cd5 0.825 0.459 0.825
Cd6 0.241 0.834 0.241
Cd7 0.759 0.759 0.166
Cd8 0.175 0.175 0.541
Cd9 0.541 0.175 0.175
Cd10 0.166 0.759 0.759
Cd11 0.175 0.541 0.175
Cd12 0.759 0.166 0.759
Ag1 0.500 0.000 0.000
Ag2 0.000 0.500 0.000
Ag3 0.000 0.000 0.500

Output
Symmetry: R-3m (166)
ΔE_f: 0.103 eV per atom

Entry from the Alexandria database: an optimized crystal structure of Ho4CdAg2Pt (PBE).

Unit cell a=5.096 b=5.096 c=8.829 alpha=73.22 beta=73.22 gamma=60.00
Sites, in units of the cell vectors:
Ho1 0.383 0.383 0.851
Ho2 0.869 0.869 0.393
Ho3 0.131 0.131 0.607
Ho4 0.617 0.617 0.149
Cd1 0.000 0.000 0.000
Ag1 0.741 0.741 0.776
Ag2 0.259 0.259 0.224
Pt1 0.500 0.500 0.500

Output
Symmetry: R-3m (166)
ΔE_f: -0.581 eV per atom

Entry from the Alexandria database: an optimized crystal structure of HoCdAgPt (PBE).

Unit cell a=4.852 b=4.852 c=4.852 alpha=60.00 beta=60.00 gamma=60.00
Sites, in units of the cell vectors:
Ag1 0.250 0.250 0.250
Ho1 0.000 0.000 0.000
Pt1 0.750 0.750 0.750
Cd1 0.500 0.500 0.500

Output
Symmetry: F-43m (216)
ΔE_f: -0.591 eV per atom

Entry from the Alexandria database: an optimized crystal structure of Ho4CdAg2Rh (PBE).

Unit cell a=5.090 b=5.090 c=8.756 alpha=73.10 beta=73.10 gamma=60.00
Sites, in units of the cell vectors:
Ho1 0.384 0.384 0.847
Ho2 0.868 0.868 0.395
Ho3 0.132 0.132 0.605
Ho4 0.616 0.616 0.153
Cd1 0.000 0.000 0.000
Ag1 0.742 0.742 0.774
Ag2 0.258 0.258 0.226
Rh1 0.500 0.500 0.500

Output
Symmetry: R-3m (166)
ΔE_f: -0.481 eV per atom

Entry from the Alexandria database: an optimized crystal structure of Ho5Cd2AgRh2 (PBE).

Unit cell a=3.664 b=11.598 c=11.598 alpha=90.00 beta=90.00 gamma=90.00
Sites, in units of the cell vectors:
Ho1 0.500 0.203 0.078
Ho2 0.500 0.797 0.922
Ho3 0.500 0.078 0.797
Ho4 0.500 0.703 0.422
Ho5 0.500 0.922 0.203
Ho6 0.500 0.297 0.578
Ho7 0.500 0.578 0.703
Ho8 0.500 0.422 0.297
Ho9 0.500 0.500 0.000
Ho10 0.500 0.000 0.500
Cd1 0.000 0.674 0.174
Cd2 0.000 0.326 0.826
Cd3 0.000 0.174 0.326
Cd4 0.000 0.826 0.674
Ag1 0.000 0.000 0.000
Ag2 0.000 0.500 0.500
Rh1 0.000 0.130 0.630
Rh2 0.000 0.870 0.370
Rh3 0.000 0.630 0.870
Rh4 0.000 0.370 0.130

Output
Symmetry: P4/mbm (127)
ΔE_f: -0.504 eV per atom

Entry from the Alexandria database: an optimized crystal structure of HoCdAgRu (PBE).

Unit cell a=4.795 b=4.795 c=4.795 alpha=60.00 beta=60.00 gamma=60.00
Sites, in units of the cell vectors:
Ru1 0.750 0.750 0.750
Ho1 0.000 0.000 0.000
Ag1 0.250 0.250 0.250
Cd1 0.500 0.500 0.500

Output
Symmetry: F-43m (216)
ΔE_f: -0.089 eV per atom

Entry from the Alexandria database: an optimized crystal structure of Ho4CdAgRu2 (PBE).

Unit cell a=4.974 b=4.974 c=8.610 alpha=73.21 beta=73.21 gamma=60.00
Sites, in units of the cell vectors:
Ho1 0.377 0.377 0.869
Ho2 0.873 0.873 0.380
Ho3 0.127 0.127 0.620
Ho4 0.623 0.623 0.131
Cd1 0.000 0.000 0.000
Ag1 0.500 0.500 0.500
Ru1 0.749 0.749 0.753
Ru2 0.251 0.251 0.247

Output
Symmetry: R-3m (166)
ΔE_f: -0.336 eV per atom

Entry from the Alexandria database: an optimized crystal structure of Ho4CdAg2Ru (PBE).

Unit cell a=5.086 b=5.086 c=8.733 alpha=73.07 beta=73.07 gamma=60.00
Sites, in units of the cell vectors:
Ho1 0.385 0.385 0.845
Ho2 0.867 0.867 0.398
Ho3 0.133 0.133 0.602
Ho4 0.615 0.615 0.155
Cd1 0.000 0.000 0.000
Ag1 0.743 0.743 0.772
Ag2 0.257 0.257 0.228
Ru1 0.500 0.500 0.500

Output
Symmetry: R-3m (166)
ΔE_f: -0.365 eV per atom

Entry from the Alexandria database: an optimized crystal structure of HoScCdAg (PBE).

Unit cell a=5.072 b=5.072 c=5.072 alpha=60.00 beta=60.00 gamma=60.00
Sites, in units of the cell vectors:
Sc1 0.000 0.000 0.000
Ho1 0.500 0.500 0.500
Ag1 0.250 0.250 0.250
Cd1 0.750 0.750 0.750

Output
Energy above the lowest structure with this stoichiometry: 6.0 kJ/mol of formula units
Symmetry: F-43m (216)
ΔE_f: -0.275 eV per atom

Entry from the Alexandria database: an optimized crystal structure of HoScCdAg (PBE).

Unit cell a=3.591 b=3.591 c=7.119 alpha=90.00 beta=90.00 gamma=90.00
Sites, in units of the cell vectors:
Ho1 0.500 0.500 0.116
Sc1 0.500 0.500 0.598
Cd1 0.000 0.000 0.837
Ag1 0.000 0.000 0.377

Output
Energy above the lowest structure with this stoichiometry: 0.0 kJ/mol of formula units
Symmetry: P4mm (99)
ΔE_f: -0.291 eV per atom

Entry from the Alexandria database: an optimized crystal structure of SmHoCdAg (PBE).

Unit cell a=5.260 b=5.260 c=5.260 alpha=60.00 beta=60.00 gamma=60.00
Sites, in units of the cell vectors:
Ag1 0.250 0.250 0.250
Ho1 0.500 0.500 0.500
Sm1 0.000 0.000 0.000
Cd1 0.750 0.750 0.750

Output
Energy above the lowest structure with this stoichiometry: 4.3 kJ/mol of formula units
Symmetry: F-43m (216)
ΔE_f: -0.294 eV per atom

Entry from the Alexandria database: an optimized crystal structure of SmHoCdAg (PBE).

Unit cell a=3.701 b=3.701 c=7.497 alpha=90.00 beta=90.00 gamma=90.00
Each line ends with the local moment (μB).
Sites, in units of the cell vectors:
Sm1 0.500 0.500 0.113  0.05
Ho1 0.500 0.500 0.597  0.00
Cd1 0.000 0.000 0.846  0.00
Ag1 0.000 0.000 0.371  0.00

Output
Energy above the lowest structure with this stoichiometry: 0.0 kJ/mol of formula units
Symmetry: P4mm (99)
ΔE_f: -0.305 eV per atom

Entry from the Alexandria database: an optimized crystal structure of HoCdAgSn (PBE).

Unit cell a=4.357 b=4.461 c=4.754 alpha=90.00 beta=90.00 gamma=90.00
Sites, in units of the cell vectors:
Ho1 0.000 0.500 0.500
Cd1 0.000 0.000 0.000
Ag1 0.500 0.500 0.000
Sn1 0.500 0.000 0.500

Output
Energy above the lowest structure with this stoichiometry: 0.0 kJ/mol of formula units
Symmetry: Pmmm (47)
ΔE_f: -0.365 eV per atom

Entry from the Alexandria database: an optimized crystal structure of HoCdAgSn (PBE).

Unit cell a=5.081 b=5.081 c=5.081 alpha=60.00 beta=60.00 gamma=60.00
Sites, in units of the cell vectors:
Cd1 0.750 0.750 0.750
Ho1 0.250 0.250 0.250
Ag1 0.500 0.500 0.500
Sn1 0.000 0.000 0.000

Output
Energy above the lowest structure with this stoichiometry: 32.4 kJ/mol of formula units
Symmetry: F-43m (216)
ΔE_f: -0.281 eV per atom

Entry from the Alexandria database: an optimized crystal structure of TbHoCdAg (PBE).

Unit cell a=3.681 b=3.681 c=7.403 alpha=90.00 beta=90.00 gamma=90.00
Sites, in units of the cell vectors:
Tb1 0.500 0.500 0.115
Ho1 0.500 0.500 0.598
Cd1 0.000 0.000 0.854
Ag1 0.000 0.000 0.362

Output
Energy above the lowest structure with this stoichiometry: 0.0 kJ/mol of formula units
Symmetry: P4mm (99)
ΔE_f: -0.316 eV per atom

Entry from the Alexandria database: an optimized crystal structure of TbHoCdAg (PBE).

Unit cell a=5.218 b=5.218 c=5.218 alpha=60.00 beta=60.00 gamma=60.00
Sites, in units of the cell vectors:
Tb1 0.500 0.500 0.500
Ho1 0.000 0.000 0.000
Ag1 0.250 0.250 0.250
Cd1 0.750 0.750 0.750

Output
Energy above the lowest structure with this stoichiometry: 4.1 kJ/mol of formula units
Symmetry: F-43m (216)
ΔE_f: -0.305 eV per atom